Computed, not measured: a geometry-optimized CuHgP2 structure at the GGA-PBE level of DFT.

Unit cell a=3.668 b=3.658 c=5.183 alpha=90.00 beta=90.08 gamma=90.00
Fractional coordinates of all 4 atoms:
Cu 0.000 0.000 0.000
Hg 0.500 0.500 0.000
P 0.000 0.000 0.500
P 0.500 0.500 0.500

Calculated values
SG: P2/m, No. 10
Total energy: -3.41 eV per atom
ΔE_f: 0.392 eV/atom
V: 17.38 A^3/atom

***

Computed, not measured: a geometry-optimized CuHg2P structure at the GGA-PBE level of DFT.

Unit cell a=6.437 b=6.437 c=6.437 alpha=35.67 beta=35.67 gamma=35.67
Fractional coordinates of all 4 atoms:
Cu 0.000 0.000 0.000
Hg 0.252 0.252 0.252
Hg 0.748 0.748 0.748
P 0.500 0.500 0.500

Calculated values
SG: R-3m, No. 166
Total energy: -2.11 eV per atom
ΔE_f: 0.416 eV/atom
V: 20.27 A^3/atom

***

Computed, not measured: a geometry-optimized CuHgP2 structure at the GGA-PBE level of DFT.

Unit cell a=2.744 b=2.744 c=9.824 alpha=90.00 beta=90.00 gamma=90.00
Fractional coordinates of all 4 atoms:
Cu 0.000 0.000 0.000
Hg 0.000 0.000 0.500
P 0.500 0.500 0.175
P 0.500 0.500 0.825

Calculated values
SG: P4/mmm, No. 123
Total energy: -3.40 eV per atom
ΔE_f: 0.406 eV/atom
V: 18.49 A^3/atom

***

Computed, not measured: a geometry-optimized CuHgP2 structure at the GGA-PBE level of DFT.

Unit cell a=8.035 b=8.035 c=8.035 alpha=156.80 beta=152.63 gamma=36.18
Fractional coordinates of all 4 atoms:
Cu 0.000 0.000 0.000
Hg 0.277 0.777 0.500
P 0.484 0.484 0.000
P 0.587 0.087 0.500

Calculated values
SG: Imm2, No. 44
Total energy: -3.64 eV per atom
ΔE_f: 0.164 eV/atom
V: 23.45 A^3/atom

***

Computed, not measured: a geometry-optimized CuHg2P structure at the GGA-PBE level of DFT.

Unit cell a=4.658 b=4.572 c=4.671 alpha=90.00 beta=119.03 gamma=90.00
Fractional coordinates of all 4 atoms:
Cu 0.000 0.000 0.000
Hg 0.315 0.500 0.687
Hg 0.657 0.000 0.345
P 0.969 0.500 0.035

Calculated values
SG: Pm, No. 6
Total energy: -2.34 eV per atom
ΔE_f: 0.191 eV/atom
V: 21.75 A^3/atom

***

Computed, not measured: a geometry-optimized CuHg2P structure at the GGA-PBE level of DFT.

Unit cell a=3.875 b=3.876 c=5.136 alpha=90.00 beta=90.00 gamma=90.00
Fractional coordinates of all 4 atoms:
Cu 0.000 0.000 0.000
Hg 0.500 0.000 0.500
Hg 0.500 0.500 0.000
P 0.000 0.500 0.500

Calculated values
SG: Pmmm, No. 47
Total energy: -2.05 eV per atom
ΔE_f: 0.481 eV/atom
V: 19.28 A^3/atom

***

Computed, not measured: a geometry-optimized Cu2Hg2P structure at the GGA-PBE level of DFT.

Unit cell a=6.285 b=6.285 c=4.542 alpha=90.00 beta=90.00 gamma=90.00
Fractional coordinates of all 10 atoms:
Cu 0.162 0.338 0.000
Cu 0.338 0.838 0.000
Cu 0.662 0.162 0.000
Cu 0.838 0.662 0.000
Hg 0.161 0.661 0.500
Hg 0.339 0.161 0.500
Hg 0.661 0.839 0.500
Hg 0.839 0.339 0.500
P 0.000 0.000 0.000
P 0.500 0.500 0.000

Calculated values
SG: P4/mbm, No. 127
Total energy: -2.57 eV per atom
ΔE_f: 0.272 eV/atom
V: 17.94 A^3/atom

***

Computed, not measured: a geometry-optimized CuHg2PRu structure at the GGA-PBE level of DFT.

Unit cell a=5.068 b=5.068 c=4.193 alpha=90.00 beta=90.00 gamma=90.00
Fractional coordinates of all 5 atoms:
Cu 0.000 0.000 0.000
Hg 0.000 0.500 0.500
Hg 0.500 0.000 0.500
P 0.000 0.000 0.500
Ru 0.500 0.500 0.000

Calculated values
SG: P4/mmm, No. 123
Total energy: -2.87 eV per atom
ΔE_f: 1.007 eV/atom
V: 21.54 A^3/atom

***

Computed, not measured: a geometry-optimized CuHg2PS4 structure at the GGA-PBE level of DFT.

Unit cell a=6.924 b=8.491 c=6.123 alpha=90.00 beta=90.00 gamma=90.00
Fractional coordinates of all 16 atoms:
Cu 0.000 0.086 0.000
Cu 0.500 0.914 0.500
Hg 0.197 0.364 0.551
Hg 0.303 0.636 0.051
Hg 0.697 0.636 0.051
Hg 0.803 0.364 0.551
P 0.000 0.823 0.502
P 0.500 0.177 0.002
S 0.000 0.043 0.621
S 0.000 0.830 0.151
S 0.241 0.285 0.086
S 0.259 0.715 0.586
S 0.500 0.170 0.651
S 0.500 0.957 0.121
S 0.741 0.715 0.586
S 0.759 0.285 0.086

Calculated values
Formation energy (no corrections): -83 meV/atom
SG: Pmn2_1, No. 31
Total energy: -3.41 eV per atom
V: 22.50 A^3/atom

***

Computed, not measured: a geometry-optimized Cu2HgPS4 structure at the GGA-PBE level of DFT.

Unit cell a=6.272 b=6.141 c=5.882 alpha=62.84 beta=60.60 gamma=56.56
Fractional coordinates of all 8 atoms:
Cu 0.000 0.000 0.500
Cu 0.500 0.500 0.000
Hg 0.281 0.281 0.719
P 0.747 0.747 0.253
S 0.081 0.675 0.325
S 0.405 0.819 0.595
S 0.675 0.081 0.919
S 0.819 0.405 0.181

Calculated values
Formation energy (no corrections): -119 meV/atom
SG: Fmm2, No. 42
Total energy: -3.92 eV per atom
V: 19.90 A^3/atom

***

Computed, not measured: a geometry-optimized Sr2CuHgP structure at the GGA-PBE level of DFT.

Unit cell a=5.920 b=5.920 c=4.350 alpha=90.00 beta=90.00 gamma=90.00
Fractional coordinates of all 5 atoms:
Sr 0.000 0.500 0.000
Sr 0.500 0.000 0.000
Cu 0.000 0.000 0.500
Hg 0.500 0.500 0.500
P 0.000 0.000 0.000

Calculated values
SG: P4/mmm, No. 123
Total energy: -3.11 eV per atom
ΔE_f: -0.477 eV/atom
V: 30.49 A^3/atom

***

Computed, not measured: a geometry-optimized TaCuHg2P structure at the GGA-PBE level of DFT.

Unit cell a=5.075 b=5.075 c=4.127 alpha=90.00 beta=90.00 gamma=90.00
Fractional coordinates of all 5 atoms:
Ta 0.000 0.000 0.000
Cu 0.500 0.500 0.000
Hg 0.000 0.500 0.500
Hg 0.500 0.000 0.500
P 0.500 0.500 0.500

Calculated values
SG: P4/mmm, No. 123
Total energy: -3.28 eV per atom
ΔE_f: 1.108 eV/atom
V: 21.26 A^3/atom

***

Computed, not measured: a geometry-optimized YCuHgP2 structure at the GGA-PBE level of DFT.

Unit cell a=5.241 b=5.241 c=5.466 alpha=90.00 beta=90.00 gamma=90.00
Fractional coordinates of all 5 atoms:
Y 0.000 0.000 0.000
Cu 0.000 0.000 0.500
Hg 0.500 0.500 0.500
P 0.000 0.500 0.000
P 0.500 0.000 0.000

Calculated values
SG: P4/mmm, No. 123
Total energy: -3.57 eV per atom
ΔE_f: 0.770 eV/atom
V: 30.03 A^3/atom

***

Computed, not measured: a geometry-optimized PaCuHg structure at the GGA-PBE level of DFT.

Unit cell a=4.691 b=3.189 c=8.280 alpha=90.00 beta=90.00 gamma=90.00
Fractional coordinates of all 6 atoms:
Pa 0.250 0.000 0.213
Pa 0.750 0.000 0.787
Cu 0.250 0.500 0.924
Cu 0.750 0.500 0.076
Hg 0.250 0.500 0.596
Hg 0.750 0.500 0.404

Calculated values
E above lowest polymorph: 0 kJ/mol of formula units
SG: Pmma, No. 51
Total energy: -4.62 eV per atom
ΔE_f: 0.010 eV/atom
V: 20.65 A^3/atom

***

Computed, not measured: a geometry-optimized PaCu2Hg structure at the GGA-PBE level of DFT.

Unit cell a=3.148 b=3.148 c=7.303 alpha=90.00 beta=90.00 gamma=90.00
Fractional coordinates of all 4 atoms:
Pa 0.000 0.000 0.000
Cu 0.500 0.500 0.267
Cu 0.500 0.500 0.733
Hg 0.000 0.000 0.500

Calculated values
E above lowest polymorph: 29 kJ/mol of formula units
SG: P4/mmm, No. 123
Total energy: -4.39 eV per atom
ΔE_f: 0.111 eV/atom
V: 18.09 A^3/atom

***

Computed, not measured: a geometry-optimized Pa2CuHg structure at the GGA-PBE level of DFT.

Unit cell a=3.112 b=3.112 c=8.931 alpha=90.00 beta=90.00 gamma=90.00
Fractional coordinates of all 4 atoms:
Pa 0.000 0.000 0.224
Pa 0.000 0.000 0.776
Cu 0.500 0.500 0.000
Hg 0.500 0.500 0.500

Calculated values
E above lowest polymorph: 0 kJ/mol of formula units
SG: P4/mmm, No. 123
Total energy: -5.77 eV per atom
ΔE_f: 0.077 eV/atom
V: 21.63 A^3/atom

***

Computed, not measured: a geometry-optimized PaCu4Hg structure at the GGA-PBE level of DFT.

Unit cell a=5.153 b=5.153 c=5.153 alpha=60.00 beta=60.00 gamma=60.00
Fractional coordinates of all 6 atoms:
Pa 0.000 0.000 0.000
Cu 0.376 0.376 0.376
Cu 0.376 0.376 0.873
Cu 0.376 0.873 0.376
Cu 0.873 0.376 0.376
Hg 0.750 0.750 0.750

Calculated values
SG: F-43m, No. 216
Total energy: -4.37 eV per atom
ΔE_f: -0.008 eV/atom
V: 16.12 A^3/atom

***

Computed, not measured: a geometry-optimized PaCuHg structure at the GGA-PBE level of DFT.

Unit cell a=6.241 b=6.241 c=6.241 alpha=150.03 beta=150.03 gamma=42.90
Fractional coordinates of all 3 atoms:
Pa 0.000 0.000 0.000
Cu 0.341 0.341 0.000
Hg 0.702 0.702 0.000

Calculated values
E above lowest polymorph: 19 kJ/mol of formula units
SG: I4mm, No. 107
Total energy: -4.56 eV per atom
ΔE_f: 0.075 eV/atom
V: 20.18 A^3/atom

***

Computed, not measured: a geometry-optimized Pa2Cu3Hg structure at the GGA-PBE level of DFT.

Unit cell a=9.160 b=8.534 c=5.570 alpha=77.89 beta=65.62 gamma=36.48
Fractional coordinates of all 12 atoms:
Pa 0.233 0.767 0.767
Pa 0.250 0.250 0.250
Pa 0.750 0.750 0.750
Pa 0.767 0.233 0.233
Cu 0.163 0.163 0.837
Cu 0.163 0.676 0.324
Cu 0.324 0.837 0.163
Cu 0.676 0.163 0.837
Cu 0.837 0.324 0.676
Cu 0.837 0.837 0.163
Hg 0.335 0.335 0.665
Hg 0.665 0.665 0.335

Calculated values
SG: Fmmm, No. 69
Total energy: -5.24 eV per atom
ΔE_f: 0.021 eV/atom
V: 19.15 A^3/atom

***

Computed, not measured: a geometry-optimized PaCu2Hg structure at the GGA-PBE level of DFT.

Unit cell a=4.712 b=4.712 c=4.712 alpha=60.00 beta=60.00 gamma=60.00
Fractional coordinates of all 4 atoms:
Pa 0.000 0.000 0.000
Cu 0.250 0.250 0.250
Cu 0.750 0.750 0.750
Hg 0.500 0.500 0.500

Calculated values
E above lowest polymorph: 0 kJ/mol of formula units
SG: Fm-3m, No. 225
Total energy: -4.46 eV per atom
ΔE_f: 0.036 eV/atom
V: 18.49 A^3/atom

***

Computed, not measured: a geometry-optimized PaCu9Hg2 structure at the GGA-PBE level of DFT.

Unit cell a=8.528 b=8.528 c=8.528 alpha=34.65 beta=34.65 gamma=34.65
Fractional coordinates of all 12 atoms:
Pa 0.000 0.000 0.000
Cu 0.081 0.584 0.584
Cu 0.333 0.333 0.333
Cu 0.416 0.416 0.919
Cu 0.416 0.919 0.416
Cu 0.500 0.500 0.500
Cu 0.584 0.081 0.584
Cu 0.584 0.584 0.081
Cu 0.667 0.667 0.667
Cu 0.919 0.416 0.416
Hg 0.140 0.140 0.140
Hg 0.860 0.860 0.860

Calculated values
SG: R-3m, No. 166
Total energy: -3.91 eV per atom
ΔE_f: 0.004 eV/atom
V: 14.91 A^3/atom

***

Computed, not measured: a geometry-optimized Pa2CuHg structure at the GGA-PBE level of DFT.

Unit cell a=10.568 b=10.568 c=10.568 alpha=17.03 beta=17.03 gamma=17.03
Fractional coordinates of all 4 atoms:
Pa 0.243 0.243 0.243
Pa 0.757 0.757 0.757
Cu 0.500 0.500 0.500
Hg 0.000 0.000 0.000

Calculated values
E above lowest polymorph: 17 kJ/mol of formula units
SG: R-3m, No. 166
Total energy: -5.72 eV per atom
ΔE_f: 0.123 eV/atom
V: 22.07 A^3/atom

***

Computed, not measured: a geometry-optimized PaCuHg structure at the GGA-PBE level of DFT.

Unit cell a=4.741 b=4.741 c=3.183 alpha=90.00 beta=90.00 gamma=120.00
Fractional coordinates of all 3 atoms:
Pa 0.000 0.000 0.000
Cu 0.667 0.333 0.500
Hg 0.333 0.667 0.500

Calculated values
E above lowest polymorph: 10 kJ/mol of formula units
SG: P-6m2, No. 187
Total energy: -4.59 eV per atom
ΔE_f: 0.043 eV/atom
V: 20.65 A^3/atom

***

Computed, not measured: a geometry-optimized Pa2CuHg structure at the GGA-PBE level of DFT.

Unit cell a=4.338 b=4.338 c=4.609 alpha=90.00 beta=90.00 gamma=90.00
Fractional coordinates of all 4 atoms:
Pa 0.000 0.500 0.000
Pa 0.500 0.000 0.000
Cu 0.000 0.000 0.500
Hg 0.500 0.500 0.500

Calculated values
E above lowest polymorph: 20 kJ/mol of formula units
SG: P4/mmm, No. 123
Total energy: -5.72 eV per atom
ΔE_f: 0.130 eV/atom
V: 21.68 A^3/atom

***

Computed, not measured: a geometry-optimized PaCuHg structure at the GGA-PBE level of DFT.

Unit cell a=4.584 b=4.584 c=4.584 alpha=60.00 beta=60.00 gamma=60.00
Fractional coordinates of all 3 atoms:
Pa 0.000 0.000 0.000
Cu 0.750 0.750 0.750
Hg 0.500 0.500 0.500

Calculated values
E above lowest polymorph: 41 kJ/mol of formula units
SG: F-43m, No. 216
Total energy: -4.48 eV per atom
ΔE_f: 0.151 eV/atom
V: 22.70 A^3/atom

***

Computed, not measured: a geometry-optimized PaCuHgRh structure at the GGA-PBE level of DFT.

Unit cell a=4.757 b=4.757 c=4.757 alpha=60.00 beta=60.00 gamma=60.00
Fractional coordinates of all 4 atoms:
Pa 0.000 0.000 0.000
Cu 0.250 0.250 0.250
Hg 0.500 0.500 0.500
Rh 0.750 0.750 0.750

Calculated values
SG: F-43m, No. 216
Total energy: -5.49 eV per atom
ΔE_f: -0.175 eV/atom
V: 19.03 A^3/atom

***

Computed, not measured: a geometry-optimized PaCu2HgSe4 structure at the GGA-PBE level of DFT.

Unit cell a=6.105 b=6.105 c=6.105 alpha=113.01 beta=109.23 gamma=106.25
Fractional coordinates of all 8 atoms:
Pa 0.000 0.000 0.000
Cu 0.175 0.675 0.500
Cu 0.825 0.325 0.500
Hg 0.500 0.500 0.000
Se 0.054 0.063 0.500
Se 0.438 0.937 0.991
Se 0.562 0.554 0.500
Se 0.946 0.446 0.009

Calculated values
Formation energy (no corrections): -448 meV/atom
SG: I222, No. 23
Total energy: -4.44 eV per atom
V: 21.82 A^3/atom

***

Computed, not measured: a geometry-optimized TbPaCuHg structure at the GGA-PBE level of DFT.

Unit cell a=5.122 b=5.122 c=5.122 alpha=60.00 beta=60.00 gamma=60.00
Fractional coordinates of all 4 atoms:
Tb 0.000 0.000 0.000
Pa 0.500 0.500 0.500
Cu 0.250 0.250 0.250
Hg 0.750 0.750 0.750

Calculated values
SG: F-43m, No. 216
Total energy: -4.56 eV per atom
ΔE_f: 0.074 eV/atom
V: 23.76 A^3/atom